(1)
Here is an optimized crystal structure of CrOs2Se from the Alexandria database. Energies are from PBE.

Summary:
Energy: -8.199 eV per atom
Formation energy from raw total energies: 0.6931 eV/atom
D(E_F): 1.112 states/eV/atom

```
data_CrOs2Se
_symmetry_space_group_name_H-M 'C m m m'
_symmetry_Int_Tables_number 65
_symmetry_space_group_name_Hall '-C 2 2'
_cell_length_a 2.8076
_cell_length_b 4.6796
_cell_length_c 9.2536
_cell_angle_alpha 90.00
_cell_angle_beta 90.00
_cell_angle_gamma 90.00
loop_
_atom_site_label
_atom_site_type_symbol
_atom_site_fract_x
_atom_site_fract_y
_atom_site_fract_z
_atom_site_occupancy
Cr1 Cr 0.0000 0.0000 0.0000 1
Os1 Os 0.0000 0.5000 0.2215 1
Se1 Se 0.0000 0.0000 0.5000 1
```

---

(2)
Here is an optimized crystal structure of Dy2ErTh4 from the Alexandria database. Energies are from PBE.

Summary:
Energy of formation: 0.083 eV/atom
Energy: -6.124 eV per atom
D(E_F): 1.408 states/eV/atom

```
data_Dy2ErTh4
_symmetry_space_group_name_H-M 'C m m m'
_symmetry_Int_Tables_number 65
_symmetry_space_group_name_Hall '-C 2 2'
_cell_length_a 3.5622
_cell_length_b 35.9341
_cell_length_c 3.5485
_cell_angle_alpha 90.00
_cell_angle_beta 90.00
_cell_angle_gamma 90.00
loop_
_atom_site_label
_atom_site_type_symbol
_atom_site_fract_x
_atom_site_fract_y
_atom_site_fract_z
_atom_site_occupancy
Dy1 Dy 0.0000 0.2076 0.0000 1
Er1 Er 0.0000 0.5000 0.5000 1
Th1 Th 0.0000 0.0711 0.0000 1
Th2 Th 0.0000 0.3603 0.5000 1
```

---

(3)
Here is an optimized crystal structure of CaTePb2 from the Alexandria database. Energies are from PBE.

Summary:
Polymorph energy (0 for the lowest one): 0.220 eV/f.u.
Energy: -3.650 eV per atom
Formation energy from raw total energies: -0.5098 eV/atom
D(E_F): 0.497 states/eV/atom

```
data_CaTePb2
_symmetry_space_group_name_H-M 'P -1'
_symmetry_Int_Tables_number 2
_cell_length_a 4.4084
_cell_length_b 4.6206
_cell_length_c 6.9845
_cell_angle_alpha 70.77
_cell_angle_beta 71.74
_cell_angle_gamma 89.99
loop_
_symmetry_equiv_pos_as_xyz
'x,y,z'
'-x,-y,-z'
loop_
_atom_site_label
_atom_site_type_symbol
_atom_site_fract_x
_atom_site_fract_y
_atom_site_fract_z
_atom_site_occupancy
Ca1 Ca 0.0000 0.0000 0.0000 1
Te1 Te 0.5000 0.5000 0.0000 1
Pb1 Pb 0.2235 0.7226 0.5541 1
```